Run w
Below is KAs2Pd after structural relaxation, with properties calculated at the PBE-GGA level.

Values from the calculation:
Theoretical density   5.0 Mg/m³

Cell: 7.2462 7.2462 7.2462 Å, 32.75 32.75 32.75°
Last column: nearest neighbours and their distance in Å.
Fractional positions:
K1 0.0000 0.0000 0.0000  6 As 3.32-3.46, 1 Pd 3.56
As1 0.5533 0.5533 0.5533  3 Pd 2.55
As2 0.7900 0.7900 0.7900  3 Pd 2.57
Pd1 0.1733 0.1733 0.1733  6 As 2.55-2.57

=====

Run x
Below is KAs2Pd after structural relaxation, with properties calculated at the PBE-GGA level.

Values from the calculation:
Theoretical density   5.1 Mg/m³

Cell: 6.3805 6.3805 6.3805 Å, 103.82 103.82 121.48°
Last column: nearest neighbours and their distance in Å.
Fractional positions:
K1 0.0000 0.0000 0.0000  2 Pd 3.12, 8 As 3.33-3.37
K2 0.7500 0.2500 0.5000  2 Pd 3.12, 8 As 3.33-3.37
As1 0.2077 0.1250 0.5827  2 Pd 2.49
As2 0.3750 0.7923 0.9173  2 Pd 2.49
As3 0.5423 0.6250 0.4173  2 Pd 2.49
As4 0.8750 0.4577 0.0827  2 Pd 2.49
Pd1 0.2500 0.7500 0.5000  4 As 2.49
Pd2 0.5000 0.5000 0.0000  4 As 2.49

=====

Least stable structure: run x

=====

Run w
Below is K2As2Pd after structural relaxation, with properties calculated at the PBE-GGA level.

Values from the calculation:
Theoretical density   3.8 Mg/m³

Cell: 7.9994 7.9994 6.0790 Å, 90.00 90.00 131.70°
Last column: nearest neighbours and their distance in Å.
Fractional positions:
K1 0.0787 0.9213 0.7500  6 As 3.45-3.70, 4 K 3.76-3.81, 4 Pd 3.79
K2 0.2943 0.7057 0.2500  2 Pd 3.37, 6 As 3.37-3.55, 2 K 3.76
K3 0.7057 0.2943 0.7500  2 Pd 3.37, 6 As 3.37-3.55, 2 K 3.76
K4 0.9213 0.0787 0.2500  6 As 3.45-3.70, 4 K 3.76-3.81, 4 Pd 3.79
As1 0.2022 0.4251 0.7500  1 As 2.44, 2 Pd 2.54
As2 0.4251 0.2022 0.2500  1 As 2.44, 2 Pd 2.54
As3 0.5749 0.7978 0.7500  1 As 2.44, 2 Pd 2.54
As4 0.7978 0.5749 0.2500  1 As 2.44, 2 Pd 2.54
Pd1 0.5000 0.5000 0.0000  4 As 2.54
Pd2 0.5000 0.5000 0.5000  4 As 2.54

=====

Run x
Below is K2As2Pd after structural relaxation, with properties calculated at the PBE-GGA level.

Values from the calculation:
Theoretical density   4.6 Mg/m³

Cell: 6.6172 6.6172 5.5400 Å, 90.00 90.00 90.00°
Last column: nearest neighbours and their distance in Å.
Fractional positions:
K1 0.1722 0.3278 0.0000  5 K 3.22-3.46, 6 As 3.29-3.45
K2 0.3278 0.8278 0.0000  5 K 3.22-3.46, 6 As 3.29-3.45
K3 0.6722 0.1722 0.0000  5 K 3.22-3.46, 6 As 3.29-3.45
K4 0.8278 0.6722 0.0000  5 K 3.22-3.46, 6 As 3.29-3.45
As1 0.1374 0.6374 0.5000  2 Pd 2.57, 1 As 2.57
As2 0.3626 0.1374 0.5000  2 Pd 2.57, 1 As 2.57
As3 0.6374 0.8626 0.5000  2 Pd 2.57, 1 As 2.57
As4 0.8626 0.3626 0.5000  2 Pd 2.57, 1 As 2.57
Pd1 0.0000 0.0000 0.5000  4 As 2.57
Pd2 0.5000 0.5000 0.5000  4 As 2.57

=====

Least stable structure: run x

=====

Run w
Below is K2As2Pd after structural relaxation, with properties calculated at the PBE-GGA level.

Values from the calculation:
Theoretical density   4.0 Mg/m³

Cell: 9.9816 9.9816 2.7771 Å, 90.00 90.00 90.00°
Last column: nearest neighbours and their distance in Å.
Fractional positions:
K1 0.1309 0.3691 0.0000  2 K 2.78
K2 0.3691 0.8691 0.0000  2 K 2.78
K3 0.6309 0.1309 0.0000  2 K 2.78
K4 0.8691 0.6309 0.0000  2 K 2.78
As1 0.1693 0.6693 0.5000  2 As 2.78
As2 0.3307 0.1693 0.5000  2 As 2.78
As3 0.6693 0.8307 0.5000  2 As 2.78
As4 0.8307 0.3307 0.5000  2 As 2.78
Pd1 0.0000 0.0000 0.0000  2 Pd 2.78
Pd2 0.5000 0.5000 0.0000  2 Pd 2.78

=====

Run x
Below is K2As2Pd after structural relaxation, with properties calculated at the PBE-GGA level.

Values from the calculation:
Theoretical density   3.9 Mg/m³

Cell: 10.5151 10.5151 10.5151 Å, 159.52 159.52 29.12°
Last column: nearest neighbours and their distance in Å.
Fractional positions:
K1 0.1032 0.1032 0.0000  4 Pd 3.38, 4 As 3.53, 4 K 3.74
K2 0.8968 0.8968 0.0000  4 Pd 3.38, 4 As 3.53, 4 K 3.74
As1 0.2500 0.7500 0.5000  4 As 2.64
As2 0.7500 0.2500 0.5000  4 As 2.64
Pd1 0.5000 0.5000 0.0000  8 K 3.38, 4 Pd 3.74

=====

Least stable structure: run w

=====

Run w
Below is K2RbAsPd after structural relaxation, with properties calculated at the PBE-GGA level.

Values from the calculation:
Theoretical density   2.9 Mg/m³

Cell: 6.4602 6.4602 4.7869 Å, 90.00 90.00 90.00°
Last column: nearest neighbours and their distance in Å.
Fractional positions:
K1 0.0000 0.5000 0.0000  2 As 3.23
K2 0.5000 0.0000 0.0000  2 As 3.23
Rb1 0.0000 0.0000 0.5000  8 K 4.02
As1 0.5000 0.5000 0.0000  2 Pd 2.39
Pd1 0.5000 0.5000 0.5000  2 As 2.39

=====

Run x
Below is K2RbAsPd after structural relaxation, with properties calculated at the PBE-GGA level.

Values from the calculation:
Theoretical density   3.0 Mg/m³

Cell: 6.2846 6.2846 4.8225 Å, 90.00 90.00 90.00°
Last column: nearest neighbours and their distance in Å.
Fractional positions:
K1 0.0000 0.5000 0.0000  2 Pd 3.14
K2 0.5000 0.0000 0.0000  2 Pd 3.14
Rb1 0.0000 0.0000 0.5000  8 K 3.96
As1 0.5000 0.5000 0.5000  2 Pd 2.41
Pd1 0.5000 0.5000 0.0000  2 As 2.41

=====

Least stable structure: run w